Model 1:
Material: LiPW2O8
Method: DFT, PBE+U
State: relaxed

Theoretical density, Mg/m³: 5.3
D(E_F), states/eV per atom: 0.0201
V, Å³ per cell: 337.1

Structure (POSCAR):
```
LiPW2O8
1.0
5.4405 0.0000 0.0000
0.0000 6.8250 0.0045
0.0000 1.5720 9.0796
O W Li P
16 4 2 2
Direct
0.7500 0.7617 0.4584
0.7500 0.1333 0.0774
0.9897 0.2244 0.7969
0.7500 0.5622 0.7073
0.4897 0.7756 0.2031
0.5160 0.8891 0.6582
0.5103 0.2244 0.7969
0.0160 0.1109 0.3418
0.9840 0.8891 0.6582
0.0103 0.7756 0.2031
0.4840 0.1109 0.3418
0.2500 0.8667 0.9226
0.2500 0.4378 0.2927
0.2500 0.2383 0.5416
0.5000 0.5000 0.0000
0.0000 0.5000 0.0000
0.2500 0.0517 0.7495
0.7500 0.3585 0.9103
0.7500 0.9483 0.2505
0.2500 0.6415 0.0897
0.7500 0.2945 0.6228
0.2500 0.7055 0.3772
0.7500 0.7795 0.6250
0.2500 0.2205 0.3750
```

=====

Model 2:
Material: LiPW2O8
Method: DFT, PBE+U
State: relaxed

Theoretical density, Mg/m³: 5.6
D(E_F), states/eV per atom: 0.0000
V, Å³ per cell: 635.5

Structure (POSCAR):
```
LiPW2O8
1.0
-2.3626 2.0054 -4.2974
-2.3459 -6.1218 -1.5671
-14.6744 3.1787 9.5510
O P W Li
32 4 8 4
Direct
0.5255 0.7110 0.6975
0.5207 0.2122 0.0853
0.0317 0.1522 0.1163
0.4321 0.3477 0.6163
0.0308 0.9626 0.4896
0.5742 0.3595 0.3415
0.7427 0.8390 0.0436
0.5308 0.0374 0.5104
0.0207 0.7878 0.9147
0.1517 0.8479 0.7718
0.4382 0.2110 0.8025
0.4330 0.5373 0.9896
0.5317 0.8478 0.8837
0.9430 0.2879 0.5853
0.2427 0.1610 0.9564
0.2170 0.5069 0.1475
0.6517 0.1521 0.2282
0.3119 0.6522 0.2718
0.8895 0.1405 0.8415
0.2209 0.3390 0.4563
0.0255 0.2890 0.3025
0.9321 0.6523 0.3837
0.7209 0.6610 0.5437
0.9330 0.4627 0.0104
0.8119 0.3478 0.7282
0.7467 0.0069 0.3525
0.0742 0.6405 0.6585
0.2467 0.9931 0.6475
0.7170 0.4931 0.8525
0.9382 0.7890 0.1975
0.3895 0.8595 0.1585
0.4430 0.7121 0.4147
0.7138 0.2961 0.8083
0.7499 0.2038 0.3083
0.2138 0.7039 0.1917
0.2499 0.7962 0.6917
0.2299 0.0012 0.8732
0.2234 0.3418 0.0472
0.7403 0.8418 0.4529
0.7234 0.6582 0.9528
0.7339 0.5012 0.6268
0.2403 0.1582 0.5471
0.2339 0.4988 0.3732
0.7299 0.9988 0.1268
0.2128 0.2669 0.7068
0.7128 0.7331 0.2932
0.2516 0.2329 0.2067
0.7516 0.7671 0.7933
```

=====

Quick look at relative energies in kJ/mol of atoms: model 1 4.5; model 2 0.0.

=====

Model 1:
Material: Li2P5WO15
Method: DFT, PBE+U
State: relaxed

Theoretical density, Mg/m³: 3.0
D(E_F), states/eV per atom: 0.0000
V, Å³ per cell: 665.9

Structure (POSCAR):
```
Li2P5WO15
1.0
-8.3996 -10.8212 3.7692
3.1134 -3.3768 -2.7566
6.0112 -2.5260 6.1438
O P Li W
30 10 4 2
Direct
0.6513 0.8422 0.6973
0.0836 0.1559 0.5690
0.1513 0.1578 0.3027
0.4164 0.1559 0.5690
0.8753 0.2650 0.5123
0.4388 0.2285 0.0539
0.3487 0.1578 0.3027
0.0612 0.2285 0.0539
0.2500 0.0407 0.5362
0.6247 0.2650 0.5123
0.3753 0.7350 0.4877
0.1619 0.5855 0.1234
0.9882 0.5369 0.7340
0.5612 0.7715 0.9461
0.3381 0.5855 0.1234
0.8381 0.4145 0.8766
0.7500 0.9593 0.4638
0.6619 0.4145 0.8766
0.5118 0.5369 0.7340
0.9164 0.8441 0.4310
0.2500 0.4131 0.9158
0.9388 0.7715 0.9461
0.4882 0.4631 0.2660
0.2500 0.8949 0.9236
0.7500 0.1051 0.0764
0.7500 0.5869 0.0842
0.5836 0.8441 0.4310
0.0118 0.4631 0.2660
0.8487 0.8422 0.6973
0.1247 0.7350 0.4877
0.0873 0.3563 0.1793
0.8551 0.9867 0.5227
0.5873 0.6437 0.8207
0.6449 0.9867 0.5227
0.3551 0.0133 0.4773
0.4127 0.3563 0.1793
0.2500 0.6193 0.0060
0.1449 0.0133 0.4773
0.9127 0.6437 0.8207
0.7500 0.3807 0.9940
0.6490 0.8419 0.0942
0.8510 0.8419 0.0942
0.1490 0.1581 0.9058
0.3510 0.1581 0.9058
0.0000 0.5000 0.5000
0.5000 0.5000 0.5000
```

=====

Model 2:
Material: Li2P5WO15
Method: DFT, PBE+U
State: relaxed

Theoretical density, Mg/m³: 3.3
D(E_F), states/eV per atom: 0.0000
V, Å³ per cell: 600.5

Structure (POSCAR):
```
Li2P5WO15
1.0
6.8938 0.0150 0.0180
-2.6478 6.3650 0.0180
1.7054 2.5626 13.6885
P O Li W
10 30 4 2
Direct
0.9552 0.3428 0.0293
0.7042 0.5835 0.5547
0.8219 0.6111 0.3364
0.6111 0.8219 0.8364
0.8260 0.0647 0.5301
0.3428 0.9552 0.5293
0.4481 0.2292 0.3302
0.0647 0.8260 0.0301
0.2292 0.4481 0.8302
0.5835 0.7042 0.0547
0.7869 0.4905 0.6330
0.5789 0.0167 0.5542
0.8388 0.8346 0.0383
0.8346 0.8388 0.5383
0.7600 0.2628 0.9862
0.8730 0.8427 0.3041
0.5282 0.9729 0.7819
0.2628 0.7600 0.4862
0.4721 0.5212 0.5598
0.1815 0.9348 0.1042
0.4828 0.5826 0.8192
0.2613 0.2036 0.2810
0.4905 0.7869 0.1330
0.2036 0.2613 0.7810
0.9348 0.1815 0.6042
0.9729 0.2199 0.1217
0.8427 0.8730 0.8041
0.5446 0.8104 0.9498
0.1852 0.9228 0.9273
0.5212 0.4721 0.0598
0.0167 0.5789 0.0542
0.3746 0.1601 0.4470
0.5826 0.4828 0.3192
0.1276 0.5941 0.7914
0.5941 0.1276 0.2914
0.9228 0.1852 0.4273
0.8104 0.5446 0.4498
0.2199 0.9729 0.6217
0.1601 0.3746 0.9470
0.9729 0.5282 0.2819
0.2456 0.7751 0.2083
0.7751 0.2456 0.7083
0.4654 0.1865 0.0496
0.1865 0.4654 0.5496
0.1832 0.9344 0.7783
0.9344 0.1832 0.2783
```

=====

Quick look at relative energies in kJ/mol of atoms: model 1 0.0; model 2 4.1.